i) HoSc | GGA-PBE | optimized geometry

Total magnetic moment: 0.0 μB/f.u.
Density of states at the Fermi level: 1.911 states/eV per atom

Cell and atoms, written as CIF:
```
data_HoSc
_chemical_formula_sum 'Ho2 Sc2'
_cell_length_a 3.471
_cell_length_b 5.384
_cell_length_c 5.967
_cell_angle_alpha 90.00
_cell_angle_beta 90.00
_cell_angle_gamma 90.00
_symmetry_space_group_name_H-M 'P m m n'
_symmetry_Int_Tables_number 59
loop_
_symmetry_equiv_pos_as_xyz
'x,y,z'
'-x,-y,-z'
'-x+1/2,-y+1/2,z'
'x+1/2,y+1/2,-z'
'x+1/2,-y,-z'
'-x+1/2,y,z'
'-x,y+1/2,-z'
'x,-y+1/2,z'
loop_
_atom_site_label
_atom_site_type_symbol
_atom_site_fract_x
_atom_site_fract_y
_atom_site_fract_z
Ho1 Ho 0.250 0.250 0.087
Sc1 Sc 0.250 0.750 0.418
```



ii) HoSc | GGA-PBE | optimized geometry

Total magnetic moment: 0.0 μB/f.u.
Density of states at the Fermi level: 1.963 states/eV per atom

Cell and atoms, written as CIF:
```
data_HoSc
_chemical_formula_sum 'Ho4 Sc4'
_cell_length_a 3.357
_cell_length_b 12.645
_cell_length_c 5.232
_cell_angle_alpha 90.00
_cell_angle_beta 90.00
_cell_angle_gamma 90.00
_symmetry_space_group_name_H-M 'C m c m'
_symmetry_Int_Tables_number 63
_symmetry_space_group_name_Hall '-C 2c 2'
loop_
_atom_site_label
_atom_site_type_symbol
_atom_site_fract_x
_atom_site_fract_y
_atom_site_fract_z
Ho1 Ho 0.000 0.170 0.250
Sc1 Sc 0.000 0.438 0.250
```



Each structure's energy above the most stable one, in meV/atom: i) 0; ii) 5.



i) HoSc | GGA-PBE | optimized geometry

Total magnetic moment: 0.0 μB/f.u.
Density of states at the Fermi level: 1.772 states/eV per atom

Cell and atoms, written as CIF:
```
data_HoSc
_chemical_formula_sum 'Ho1 Sc1'
_cell_length_a 3.434
_cell_length_b 3.434
_cell_length_c 4.679
_cell_angle_alpha 90.00
_cell_angle_beta 90.00
_cell_angle_gamma 90.00
_symmetry_space_group_name_H-M 'P 4/m m m'
_symmetry_Int_Tables_number 123
_symmetry_space_group_name_Hall '-P 4 2'
loop_
_atom_site_label
_atom_site_type_symbol
_atom_site_fract_x
_atom_site_fract_y
_atom_site_fract_z
Ho1 Ho 0.000 0.000 0.000
Sc1 Sc 0.500 0.500 0.500
```



ii) HoSc | GGA-PBE | optimized geometry

Total magnetic moment: 0.0 μB/f.u.
Density of states at the Fermi level: 1.281 states/eV per atom

Cell and atoms, written as CIF:
```
data_HoSc
_chemical_formula_sum 'Ho1 Sc1'
_cell_length_a 3.808
_cell_length_b 3.808
_cell_length_c 3.808
_cell_angle_alpha 90.00
_cell_angle_beta 90.00
_cell_angle_gamma 90.00
_symmetry_space_group_name_H-M 'P m -3 m'
_symmetry_Int_Tables_number 221
_symmetry_space_group_name_Hall '-P 4 2 3'
loop_
_atom_site_label
_atom_site_type_symbol
_atom_site_fract_x
_atom_site_fract_y
_atom_site_fract_z
Ho1 Ho 0.000 0.000 0.000
Sc1 Sc 0.500 0.500 0.500
```



Each structure's energy above the most stable one, in meV/atom: i) 0; ii) 39.



i) Ho2ScSe | GGA-PBE | optimized geometry

Total magnetic moment: 0.4 μB/f.u.
Density of states at the Fermi level: 1.007 states/eV per atom

Cell and atoms, written as CIF:
```
data_Ho2ScSe
_chemical_formula_sum 'Ho6 Sc3 Se3'
_cell_length_a 3.7000
_cell_length_b 3.7000
_cell_length_c 27.5250
_cell_angle_alpha 90.00
_cell_angle_beta 90.00
_cell_angle_gamma 120.00
_symmetry_space_group_name_H-M 'R -3 m'
_symmetry_Int_Tables_number 166
_symmetry_space_group_name_Hall '-R 3 2"'
loop_
_atom_site_label
_atom_site_type_symbol
_atom_site_fract_x
_atom_site_fract_y
_atom_site_fract_z
Ho1 Ho 0.0000 0.0000 0.2361
Sc1 Sc 0.0000 0.0000 0.0000
Se1 Se 0.0000 0.0000 0.5000
```



ii) Ho2ScSe | GGA-PBE | optimized geometry

Total magnetic moment: 0.0 μB/f.u.
Density of states at the Fermi level: 1.240 states/eV per atom

Cell and atoms, written as CIF:
```
data_Ho2ScSe
_chemical_formula_sum 'Ho6 Sc3 Se3'
_cell_length_a 3.7183
_cell_length_b 3.7183
_cell_length_c 27.2348
_cell_angle_alpha 90.00
_cell_angle_beta 90.00
_cell_angle_gamma 120.00
_symmetry_space_group_name_H-M 'R 3 m'
_symmetry_Int_Tables_number 160
_symmetry_space_group_name_Hall 'R 3 -2"'
loop_
_atom_site_label
_atom_site_type_symbol
_atom_site_fract_x
_atom_site_fract_y
_atom_site_fract_z
Ho1 Ho 0.0000 0.0000 0.0000
Ho2 Ho 0.0000 0.0000 0.1947
Sc1 Sc 0.0000 0.0000 0.4301
Se1 Se 0.0000 0.0000 0.5973
```



Each structure's energy above the most stable one, in meV/atom: i) 14; ii) 0.